Below is crystalline Pm2PrNdSm4 at its relaxed geometry, with properties calculated at the PBE level.

Summary:
density of states at the Fermi level = 18.7 states/eV/f.u.
total DFT energy (no corrections) = -4.36 eV per atom
size of the total moment = 0.00 μB per formula unit
E_form = 0.379 eV per atom

a b c (Å): 9.623 9.623 6.973
angles (deg): 111.19 111.19 87.88
Sites, in units of the cell vectors:
Pm  0.000  0.000  0.000
Pm  0.000  0.000  0.500
Pm  0.000  0.500  0.000
Pm  0.500  0.000  0.500
Pr  0.000  0.500  0.500
Pr  0.500  0.000  0.000
Nd  0.500  0.500  0.000
Nd  0.500  0.500  0.500
Sm  0.246  0.747  0.998
Sm  0.248  0.250  0.941
Sm  0.250  0.248  0.441
Sm  0.253  0.754  0.502
Sm  0.747  0.246  0.498
Sm  0.750  0.752  0.559
Sm  0.752  0.750  0.059
Sm  0.754  0.253  0.002

=====

Below is crystalline Pm2Pr4NdSm at its relaxed geometry, with properties calculated at the PBE level.

Summary:
density of states at the Fermi level = 13.2 states/eV/f.u.
total DFT energy (no corrections) = -4.75 eV per atom
size of the total moment = 0.00 μB per formula unit
E_form = 0.014 eV per atom

a b c (Å): 6.377 3.692 12.219
angles (deg): 90.00 100.32 90.00
Sites, in units of the cell vectors:
Pm  0.000  0.000  0.000
Pm  0.000  0.500  0.500
Pr  0.250  0.000  0.749
Pr  0.250  0.500  0.251
Pr  0.750  0.000  0.251
Pr  0.750  0.500  0.749
Nd  0.500  0.500  0.000
Sm  0.500  0.000  0.500

=====

Below is crystalline Pm2Pr2Nd4Sm at its relaxed geometry, with properties calculated at the PBE level.

Summary:
density of states at the Fermi level = 11.9 states/eV/f.u.
total DFT energy (no corrections) = -4.75 eV per atom
size of the total moment = 0.00 μB per formula unit
E_form = 0.009 eV per atom

a b c (Å): 9.795 9.795 9.871
angles (deg): 115.15 115.15 21.81
Sites, in units of the cell vectors:
Pm  0.148  0.148  0.167
Pm  0.852  0.852  0.833
Pr  0.334  0.334  0.501
Pr  0.666  0.666  0.499
Nd  0.185  0.185  0.833
Nd  0.482  0.482  0.168
Nd  0.518  0.518  0.832
Nd  0.815  0.815  0.167
Sm  0.000  0.000  0.500

=====

Below is crystalline PmPr4NdSm2 at its relaxed geometry, with properties calculated at the PBE level.

Summary:
density of states at the Fermi level = 13.0 states/eV/f.u.
total DFT energy (no corrections) = -4.74 eV per atom
size of the total moment = 0.00 μB per formula unit
E_form = 0.014 eV per atom

a b c (Å): 6.373 3.690 12.207
angles (deg): 90.00 100.31 90.00
Sites, in units of the cell vectors:
Pm  0.000  0.000  0.000
Pr  0.250  0.000  0.751
Pr  0.251  0.500  0.250
Pr  0.749  0.500  0.750
Pr  0.750  0.000  0.249
Nd  0.000  0.500  0.500
Sm  0.500  0.000  0.500
Sm  0.500  0.500  0.000

=====

Below is crystalline Pm2Pr2NdSm2 at its relaxed geometry, with properties calculated at the PBE level.

Summary:
density of states at the Fermi level = 10.9 states/eV/f.u.
total DFT energy (no corrections) = -4.74 eV per atom
size of the total moment = 0.00 μB per formula unit
E_form = 0.013 eV per atom

a b c (Å): 6.352 6.352 8.211
angles (deg): 97.34 97.34 48.15
Sites, in units of the cell vectors:
Pm  0.215  0.215  0.142
Pm  0.785  0.785  0.858
Pr  0.357  0.357  0.572
Pr  0.643  0.643  0.428
Nd  0.500  0.500  0.000
Sm  0.071  0.071  0.715
Sm  0.929  0.929  0.285

=====

Below is crystalline Pm2PrNd2Sm2 at its relaxed geometry, with properties calculated at the PBE level.

Summary:
density of states at the Fermi level = 10.7 states/eV/f.u.
total DFT energy (no corrections) = -4.74 eV per atom
size of the total moment = 0.00 μB per formula unit
E_form = 0.013 eV per atom

a b c (Å): 6.340 6.340 8.205
angles (deg): 97.41 97.41 48.22
Sites, in units of the cell vectors:
Pm  0.143  0.143  0.429
Pm  0.857  0.857  0.571
Pr  0.000  0.000  0.000
Nd  0.428  0.428  0.286
Nd  0.572  0.572  0.714
Sm  0.286  0.286  0.857
Sm  0.714  0.714  0.143

=====

Below is crystalline Pm2PrNdSm2 at its relaxed geometry, with properties calculated at the PBE level.

Summary:
density of states at the Fermi level = 11.0 states/eV/f.u.
total DFT energy (no corrections) = -4.50 eV per atom
size of the total moment = 0.00 μB per formula unit
E_form = 0.248 eV per atom

a b c (Å): 6.770 18.087 3.454
angles (deg): 90.00 90.00 90.00
Sites, in units of the cell vectors:
Pm  0.226  0.152  0.000
Pm  0.274  0.652  0.500
Pm  0.726  0.348  0.500
Pm  0.774  0.848  0.000
Pr  0.000  0.500  0.500
Pr  0.500  0.000  0.000
Nd  0.000  0.000  0.500
Nd  0.500  0.500  0.000
Sm  0.231  0.319  0.500
Sm  0.269  0.819  0.000
Sm  0.731  0.181  0.000
Sm  0.769  0.681  0.500

=====

Below is crystalline PmPrNd2Sm at its relaxed geometry, with properties calculated at the PBE level.

Summary:
density of states at the Fermi level = 6.5 states/eV/f.u.
total DFT energy (no corrections) = -4.51 eV per atom
size of the total moment = 0.00 μB per formula unit
E_form = 0.249 eV per atom

a b c (Å): 8.345 6.810 6.329
angles (deg): 90.00 90.53 90.00
Sites, in units of the cell vectors:
Pm  0.000  0.076  0.250
Pm  0.000  0.924  0.750
Pr  0.000  0.500  0.000
Pr  0.000  0.500  0.500
Nd  0.305  0.193  0.747
Nd  0.305  0.807  0.247
Nd  0.695  0.193  0.753
Nd  0.695  0.807  0.253
Sm  0.500  0.340  0.250
Sm  0.500  0.660  0.750